No. 1
This record from Alexandria describes a relaxed SrNp2S4 crystal. The functional is PBE.

Lattice parameters (Å, degrees): 6.8250 6.8250 13.3688 90.00 90.00 145.92
Closest atoms and distances in Å follow each position.
Element x y z (fractional)
Sr1 0.1120 0.8880 0.7500  6 S 2.94-3.12
Sr2 0.8880 0.1120 0.2500  6 S 2.94-3.12
Np1 0.3680 0.6320 0.5644  6 S 2.69-2.78
Np2 0.3680 0.6320 0.9356  6 S 2.69-2.78
Np3 0.6320 0.3680 0.0644  6 S 2.69-2.78
Np4 0.6320 0.3680 0.4356  6 S 2.69-2.78
S1 0.0000 0.0000 0.0000  4 Np 2.78
S2 0.0000 0.0000 0.5000  4 Np 2.78
S3 0.2671 0.7329 0.1155  3 Np 2.74-2.75
S4 0.2671 0.7329 0.3845  3 Np 2.74-2.75
S5 0.4469 0.5531 0.7500  2 Np 2.69, 2 Sr 2.94
S6 0.5531 0.4469 0.2500  2 Np 2.69, 2 Sr 2.94
S7 0.7329 0.2671 0.6155  3 Np 2.74-2.75
S8 0.7329 0.2671 0.8845  3 Np 2.74-2.75

Summary:
The calculation puts the raw total energy at -7.890 eV/atom. The value obtained for the calculated volume is 349.0 Å³ per cell.

No. 2
This record from Alexandria describes a relaxed SrNp2S4 crystal. The functional is PBE.

Lattice parameters (Å, degrees): 6.8051 4.0342 7.2357 90.00 90.09 90.00
Closest atoms and distances in Å follow each position.
Element x y z (fractional)
Sr1 0.0000 0.0000 0.0000  6 S 3.04-3.11
Np1 0.0000 0.0000 0.5000  6 S 2.69-2.79
Np2 0.5000 0.5000 0.5000  6 S 2.75-2.83
S1 0.1561 0.5000 0.2787  3 Np 2.79-2.83, 2 Sr 3.04
S2 0.3309 0.0000 0.7041  3 Np 2.69-2.75
S3 0.6691 0.0000 0.2959  3 Np 2.69-2.75
S4 0.8439 0.5000 0.7213  3 Np 2.79-2.83, 2 Sr 3.04

Summary:
The calculation puts the raw total energy at -7.796 eV/atom. The value obtained for the calculated volume is 198.6 Å³ per cell.

No. 3
This record from Alexandria describes a relaxed SrNpS2 crystal. The functional is PBE.

Lattice parameters (Å, degrees): 3.9512 3.9512 21.9360 90.00 90.00 120.00
Closest atoms and distances in Å follow each position.
Element x y z (fractional)
Sr1 0.0000 0.0000 0.0000  6 S 2.93-3.01
Sr2 0.3333 0.6667 0.6667  6 S 2.93-3.01
Sr3 0.6667 0.3333 0.3333  6 S 2.93-3.01
Np1 0.0000 0.0000 0.1713  6 S 2.85-2.90
Np2 0.3333 0.6667 0.8380  6 S 2.85-2.90
Np3 0.6667 0.3333 0.5047  6 S 2.85-2.90
S1 0.0000 0.0000 0.4228  3 Np 2.90, 3 Sr 3.01
S2 0.0000 0.0000 0.5826  3 Np 2.85, 3 Sr 2.93
S3 0.3333 0.6667 0.0895  3 Np 2.90, 3 Sr 3.01
S4 0.3333 0.6667 0.2493  3 Np 2.85, 3 Sr 2.93
S5 0.6667 0.3333 0.7562  3 Np 2.90, 3 Sr 3.01
S6 0.6667 0.3333 0.9159  3 Np 2.85, 3 Sr 2.93

Summary:
The calculation puts the raw total energy at -7.241 eV/atom. The value obtained for the calculated volume is 296.6 Å³ per cell.

No. 4
This record from Alexandria describes a relaxed Sr3Tb3NpS8 crystal. The functional is PBE.

Lattice parameters (Å, degrees): 8.2937 8.2937 8.2937 57.98 57.98 57.98
Closest atoms and distances in Å follow each position.
Element x y z (fractional)
Sr1 0.0000 0.5000 0.5000  6 S 2.97-2.99
Sr2 0.5000 0.0000 0.5000  6 S 2.97-2.99
Sr3 0.5000 0.5000 0.0000  6 S 2.97-2.99
Tb1 0.0000 0.0000 0.5000  6 S 2.79-2.81
Tb2 0.0000 0.5000 0.0000  6 S 2.79-2.81
Tb3 0.5000 0.0000 0.0000  6 S 2.79-2.81
Np1 0.5000 0.5000 0.5000  6 S 2.79
S1 0.2412 0.7420 0.7420  2 Tb 2.79, 1 Np 2.79, 2 Sr 2.99
S2 0.2435 0.2435 0.2435  3 Tb 2.81, 3 Sr 2.97
S3 0.2580 0.2580 0.7588  2 Tb 2.79, 1 Np 2.79, 2 Sr 2.99
S4 0.2580 0.7588 0.2580  2 Tb 2.79, 1 Np 2.79, 2 Sr 2.99
S5 0.7420 0.2412 0.7420  2 Tb 2.79, 1 Np 2.79, 2 Sr 2.99
S6 0.7420 0.7420 0.2412  2 Tb 2.79, 1 Np 2.79, 2 Sr 2.99
S7 0.7565 0.7565 0.7565  3 Tb 2.81, 3 Sr 2.97
S8 0.7588 0.2580 0.2580  2 Tb 2.79, 1 Np 2.79, 2 Sr 2.99

Summary:
The calculation puts the raw total energy at -6.275 eV/atom. The value obtained for the calculated volume is 384.7 Å³ per cell.

Which of these has the lowest calculated volume? number 2

What did the third record say?
This record from Alexandria describes a relaxed SrNpS2 crystal. The functional is PBE.

Lattice parameters (Å, degrees): 3.9512 3.9512 21.9360 90.00 90.00 120.00
Closest atoms and distances in Å follow each position.
Element x y z (fractional)
Sr1 0.0000 0.0000 0.0000  6 S 2.93-3.01
Sr2 0.3333 0.6667 0.6667  6 S 2.93-3.01
Sr3 0.6667 0.3333 0.3333  6 S 2.93-3.01
Np1 0.0000 0.0000 0.1713  6 S 2.85-2.90
Np2 0.3333 0.6667 0.8380  6 S 2.85-2.90
Np3 0.6667 0.3333 0.5047  6 S 2.85-2.90
S1 0.0000 0.0000 0.4228  3 Np 2.90, 3 Sr 3.01
S2 0.0000 0.0000 0.5826  3 Np 2.85, 3 Sr 2.93
S3 0.3333 0.6667 0.0895  3 Np 2.90, 3 Sr 3.01
S4 0.3333 0.6667 0.2493  3 Np 2.85, 3 Sr 2.93
S5 0.6667 0.3333 0.7562  3 Np 2.90, 3 Sr 3.01
S6 0.6667 0.3333 0.9159  3 Np 2.85, 3 Sr 2.93

Summary:
The calculation puts the raw total energy at -7.241 eV/atom. The value obtained for the calculated volume is 296.6 Å³ per cell.

The highest calculated volume belongs to which entry? Sr3Tb3NpS8

Look up the calculated volume of the first one. 349.0 Å³ per cell